(1)
Computed, not measured: a relaxed structure of MnCr2Cl at the PBE level of DFT.

Cell: 6.0430 6.0430 6.0430 Å, 151.48 139.07 50.64°
Element x y z (fractional)
Mn1 0.4835 0.4835 0.0000
Cr1 0.8130 0.3130 0.5000
Cl1 0.2019 0.7019 0.5000
Cr2 0.0016 0.0016 0.0000

Computed properties:
Final energy: -7.080 eV/atom
Energy relative to the lowest polymorph listed for this composition: 390 meV per atom
Total magnetic moment: 4.62 μB/f.u.
N(E_F): 2.07 states/eV/cell
Formation energy without anion corrections: 0.486 eV/atom

***

(2)
Computed, not measured: a relaxed structure of Pr4MgSn15 at the PBE level of DFT.

Cell: 4.7151 4.7151 24.5090 Å, 90.00 90.00 90.00°
Element x y z (fractional)
Sn1 0.5000 0.5000 0.0000
Sn2 0.5000 0.0000 0.2993
Sn3 0.0000 0.5000 0.5000
Sn4 0.5000 0.0000 0.5000
Sn5 0.0000 0.5000 0.0957
Sn6 0.0000 0.5000 0.2993
Sn7 0.5000 0.5000 0.1948
Sn8 0.5000 0.0000 0.7007
Pr1 0.0000 0.0000 0.6008
Pr2 0.0000 0.0000 0.2028
Pr3 0.0000 0.0000 0.7972
Sn9 0.5000 0.0000 0.0957
Sn10 0.0000 0.5000 0.7007
Sn11 0.0000 0.5000 0.9043
Sn12 0.5000 0.0000 0.9043
Sn13 0.5000 0.5000 0.8052
Sn14 0.5000 0.5000 0.3996
Sn15 0.5000 0.5000 0.6004
Mg1 0.0000 0.0000 0.0000
Pr4 0.0000 0.0000 0.3992

Computed properties:
Final energy: -4.442 eV/atom
Total magnetic moment: 0.00 μB/f.u.
N(E_F): 8.69 states/eV/cell
Calculated formation energy: -0.4044 eV/atom

***

(3)
Computed, not measured: a relaxed structure of Tb14TmCd at the PBE level of DFT.

Cell: 7.0423 7.0423 10.0096 Å, 90.00 90.00 90.00°
Element x y z (fractional)
Tb1 0.1252 0.3752 0.7531
Tb2 0.8750 0.1250 0.5000
Tb3 0.6246 0.3754 0.7526
Tb4 0.1252 0.8748 0.2464
Tb5 0.8752 0.6253 0.5000
Tb6 0.3747 0.1248 0.5000
Tb7 0.1252 0.3752 0.2469
Tb8 0.3748 0.6252 0.5000
Tb9 0.6248 0.8748 0.2469
Tb10 0.3760 0.1254 0.0000
Tm1 0.3751 0.6249 0.0000
Tb11 0.1252 0.8748 0.7536
Cd1 0.8751 0.1249 0.0000
Tb12 0.6246 0.3754 0.2474
Tb13 0.6248 0.8748 0.7531
Tb14 0.8746 0.6240 0.0000

Computed properties:
Final energy: -4.392 eV/atom
Total magnetic moment: 0.00 μB/f.u.
N(E_F): 21.17 states/eV/cell
Calculated formation energy: -0.0039 eV/atom

***

(4)
Computed, not measured: a relaxed structure of CuBSe2 at the PBE level of DFT.

Cell: 5.8903 3.4916 14.3515 Å, 90.00 90.00 90.00°
Element x y z (fractional)
Cu1 0.5778 0.2500 0.2941
Se1 0.8408 0.2500 0.4340
Se2 0.6592 0.7500 0.9340
Se3 0.2352 0.2500 0.8140
B1 0.4495 0.2500 0.9219
Se4 0.1592 0.7500 0.5660
Se5 0.7648 0.7500 0.1860
Cu2 0.9222 0.7500 0.7941
Se6 0.7352 0.2500 0.6860
Cu3 0.0778 0.2500 0.2059
B2 0.0505 0.7500 0.4219
B3 0.5505 0.7500 0.0781
Se7 0.2648 0.7500 0.3140
Se8 0.3408 0.2500 0.0660
Cu4 0.4222 0.7500 0.7059
B4 0.9495 0.2500 0.5781

Computed properties:
Final energy: -4.378 eV/atom
Total magnetic moment: 0.00 μB/f.u.
N(E_F): 1.44 states/eV/cell
Formation energy without anion corrections: 0.058 eV/atom